Here is a geometry-optimized BaHfZr2Mn structure from Alexandria via LeMat-Bulk. Energies are from PBEsol.

Computed properties:
- size of the total moment (μB/cell) = 3.56
- DFT total energy (eV/cell) = -35.6
- density (g/cm³) = 6.6
- energy relative to the elements (eV/atom) = 0.989

Cell lengths 5.093, 5.247, 5.247 Å; angles 90.00, 90.00, 90.00 degrees
Last column: magnetic moment on the atom in μB.
Fractional positions:
Mn  0.500  0.000  0.000  3.52
Hf  0.000  0.000  0.000  -0.19
Ba  0.500  0.500  0.500  0.01
Zr  0.000  0.000  0.500  0.00
Zr  0.000  0.500  0.000  0.00

Here is a geometry-optimized BaHfMo3 structure from Alexandria via LeMat-Bulk. Energies are from PBEsol.

Computed properties:
- size of the total moment (μB/cell) = 0.01
- DFT total energy (eV/cell) = -33.8
- density (g/cm³) = 8.8
- energy relative to the elements (eV/atom) = 2.829

Cell lengths 4.849, 4.849, 4.849 Å; angles 90.00, 90.00, 90.00 degrees
Fractional positions:
Mo  0.000  0.500  0.000
Mo  0.000  0.000  0.500
Mo  0.500  0.000  0.000
Hf  0.500  0.500  0.500
Ba  0.000  0.000  0.000